Entry A
A geometry-optimized GeTeMo2 structure, computed with PBE.

Cell lengths 9.5416, 9.5416, 9.5416 Å; angles 154.58, 154.58, 36.26 degrees
Fractional positions:
1 Ge 0.0000 0.0000 0.0000
2 Ge 0.7500 0.2500 0.5000
3 Te 0.2500 0.7500 0.5000
4 Te 0.5000 0.5000 0.0000
5 Mo 0.0582 0.6250 0.9332
6 Mo 0.3750 0.3082 0.4332
7 Mo 0.6918 0.1250 0.0668
8 Mo 0.8750 0.9418 0.5668

Calculated values
Spin magnetization in μB per cell: 0.00
Space-group type: I-42d



Entry B
A geometry-optimized GeTeMo2 structure, computed with PBE.

Cell lengths 4.5694, 4.5694, 4.5694 Å; angles 60.00, 60.00, 60.00 degrees
Fractional positions:
1 Ge 0.0000 0.0000 0.0000
2 Te 0.5000 0.5000 0.5000
3 Mo 0.2500 0.2500 0.2500
4 Mo 0.7500 0.7500 0.7500

Calculated values
Spin magnetization in μB per cell: 0.00
Space-group type: Fm-3m



Which is most stable, and by how much? entry B, by 0.368 eV/atom.